Computed, not measured: Nd3ScAg2 after structural relaxation at the GGA-PBE level of DFT.

Unit cell a=3.7187 b=3.7187 c=12.0006 alpha=90.00 beta=90.00 gamma=90.00
Fractional coordinates of all 6 atoms:
Nd (0.0000, 0.0000, 0.0000)
Nd (0.0000, 0.0000, 0.6822)
Nd (0.0000, 0.0000, 0.3178)
Sc (0.5000, 0.5000, 0.5000)
Ag (0.5000, 0.5000, 0.8366)
Ag (0.5000, 0.5000, 0.1634)

Computed properties:
Space group: P4/mmm
ΔH_f (0 K), meV per atom: -147
Calculated volume, Å³/atom: 27.66
Magnetization, μB/f.u.: 0.170

Computed, not measured: PmAlPtRh after structural relaxation at the GGA-PBE level of DFT.

Unit cell a=4.7125 b=4.7125 c=4.7125 alpha=60.00 beta=60.00 gamma=60.00
Fractional coordinates of all 4 atoms:
Rh (0.2500, 0.2500, 0.2500)
Al (0.0000, 0.0000, 0.0000)
Pt (0.7500, 0.7500, 0.7500)
Pm (0.5000, 0.5000, 0.5000)

Computed properties:
Space group: F-43m
ΔH_f (0 K), meV per atom: -774
Calculated volume, Å³/atom: 18.50
Magnetization, μB/f.u.: 0.000